Entry 1:
Computed, not measured: CePm4Th after structural relaxation at the PBE level of DFT.

Cell lengths 3.5966, 6.2131, 17.7452 Å; angles 90.05, 90.00, 90.00 degrees
Site moments in Bohr magnetons follow the coordinates.
Fractional positions:
Pm 0.9994 0.6674 0.8381  -0.01
Pm 0.9994 0.3354 0.6611  -0.01
Pm 0.5006 0.1674 0.3381  -0.01
Pm 0.0006 0.3326 0.1619  -0.01
Pm 0.4994 0.8326 0.6619  -0.01
Pm 0.0006 0.6646 0.3389  -0.01
Pm 0.5006 0.8354 0.1611  -0.01
Pm 0.4994 0.1646 0.8389  -0.01
Th 0.5000 0.5000 0.5000  0.00
Th 0.0000 0.0000 0.0000  0.00
Ce 0.5000 0.5000 0.0000  0.30
Ce 0.0000 0.0000 0.5000  0.30

## Properties
Energy of formation from the pure elements = 0.298 eV/f.u.
Energy = -32.06 eV per formula unit



Entry 2:
Computed, not measured: DyUGe after structural relaxation at the PBE level of DFT.

Cell lengths 5.0831, 3.2280, 9.1817 Å; angles 100.12, 106.07, 90.00 degrees
Site moments in Bohr magnetons follow the coordinates.
Fractional positions:
Dy 0.6739 0.1739 0.3478  -0.05
Dy 0.3261 0.8261 0.6522  -0.05
Ge 0.8452 0.3452 0.6905  -0.01
Ge 0.1548 0.6548 0.3095  -0.01
U 0.7504 0.5000 0.0000  1.26
U 0.2496 0.5000 0.0000  1.26

## Properties
Energy of formation from the pure elements = -0.370 eV/f.u.
Energy = -20.88 eV per formula unit



Entry 3:
Computed, not measured: TaP3F after structural relaxation at the PBE level of DFT.

Cell lengths 4.2263, 4.2263, 4.2263 Å; angles 90.00, 90.00, 90.00 degrees
Fractional positions:
P 0.5000 0.0000 0.0000
P 0.0000 0.0000 0.5000
P 0.0000 0.5000 0.0000
Ta 0.5000 0.5000 0.5000
F 0.0000 0.0000 0.0000

## Properties
ΔE to the lowest computed polymorph = 41.2 kJ/mol of atoms
Energy relative to the elements, uncorrected = 57 kJ per mole of atoms
Energy = -26.98 eV per formula unit



Entry 4:
Computed, not measured: NaInPtRh after structural relaxation at the PBE level of DFT.

Cell lengths 4.5801, 4.5801, 4.5801 Å; angles 60.00, 60.00, 60.00 degrees
Fractional positions:
Rh 0.2500 0.2500 0.2500
In 0.0000 0.0000 0.0000
Pt 0.7500 0.7500 0.7500
Na 0.5000 0.5000 0.5000

## Properties
Energy of formation from the pure elements = -0.752 eV/f.u.
Energy = -18.20 eV per formula unit



Entry 5:
Computed, not measured: Li2Pu3Pt3 after structural relaxation at the PBE level of DFT.

Cell lengths 3.6633, 4.4600, 10.3949 Å; angles 102.39, 100.15, 90.00 degrees
Site moments in Bohr magnetons follow the coordinates.
Fractional positions:
Pt 0.8537 0.8537 0.7073  -0.09
Pt 0.0000 0.5000 0.0000  -0.07
Pt 0.1463 0.1463 0.2927  -0.09
Pu 0.6229 0.6229 0.2458  5.25
Pu 0.3771 0.3771 0.7542  5.25
Pu 0.5000 0.0000 0.0000  5.30
Li 0.7454 0.2454 0.4908  0.01
Li 0.2546 0.7546 0.5092  0.01

## Properties
ΔE to the lowest computed polymorph = 0.0 kJ/mol of atoms
Energy of formation from the pure elements = -4.331 eV/f.u.
Energy = -69.28 eV per formula unit



Entry 6:
Computed, not measured: MnAgIr after structural relaxation at the PBE level of DFT.

Cell lengths 5.1827, 5.1827, 5.1827 Å; angles 147.87, 140.76, 51.58 degrees
Site moments in Bohr magnetons follow the coordinates.
Fractional positions:
Ag 0.0029 0.0029 0.0000  0.01
Mn 0.6864 0.6864 0.0000  3.16
Ir 0.3107 0.3107 0.0000  -0.08

## Properties
ΔE to the lowest computed polymorph = 3.3 kJ/mol of atoms
Energy of formation from the pure elements = 0.636 eV/f.u.
Energy = -20.25 eV per formula unit



Entry 7:
Computed, not measured: MnGePHCN after structural relaxation at the PBE level of DFT.

Cell lengths 4.9030, 2.8806, 5.5658 Å; angles 90.00, 113.85, 90.00 degrees
Site moments in Bohr magnetons follow the coordinates.
Fractional positions:
Mn 0.9882 0.0000 0.6319  0.25
N 0.3744 0.0000 0.6445  0.01
Ge 0.2322 0.5000 0.0821  -0.01
H 0.9099 0.5000 0.7543  0.00
C 0.6111 0.0000 0.6335  -0.01
P 0.8329 0.5000 0.2824  -0.01

## Properties
ΔE to the lowest computed polymorph = 9.9 kJ/mol of atoms
Energy = -38.98 eV per formula unit



Entry 8:
Computed, not measured: Np2F5 after structural relaxation at the PBE level of DFT.

Cell lengths 5.1770, 6.1083, 6.9253 Å; angles 63.83, 89.63, 90.00 degrees
Site moments in Bohr magnetons follow the coordinates.
Fractional positions:
F 0.7500 0.4963 0.0000  -0.01
F 0.7547 0.2670 0.4760  -0.01
F 0.0095 0.2275 0.8473  -0.01
F 0.2453 0.7330 0.5240  -0.01
F 0.9905 0.7725 0.1527  -0.01
F 0.7453 0.7430 0.5240  -0.01
F 0.2500 0.5037 0.0000  -0.01
F 0.5095 0.9252 0.8473  -0.01
F 0.2547 0.2570 0.4760  -0.01
F 0.4905 0.0748 0.1527  -0.01
Np 0.0003 0.8805 0.7595  4.38
Np 0.9997 0.1195 0.2405  4.38
Np 0.4997 0.6400 0.2405  4.38
Np 0.5003 0.3600 0.7595  4.38

## Properties
Energy relative to the elements, uncorrected = -299 kJ per mole of atoms
Energy = -56.94 eV per formula unit



Density / Mg/m³: 7.974, 11.041, 6.442, 10.652, 13.547, 12.656, 4.286, 9.614